Computed, not measured: a relaxed structure of AgMo at the PBE level of DFT.

Cell lengths 4.5669, 4.5669, 4.5669 Å; angles 60.00, 60.00, 60.00 degrees
Atoms (fractional coordinates):
1 Ag 0.1250 0.1250 0.1250
2 Ag 0.8750 0.8750 0.8750
3 Mo 0.3750 0.3750 0.3750
4 Mo 0.6250 0.6250 0.6250

Output
As for the space group: Fd-3m (227). The energy above the most stable polymorph in this dataset comes out at 428 meV/atom. The calculation puts the energy of formation from the pure elements at 0.69 eV per atom. The calculation puts the uncorrected energy at -12.30 eV/f.u.


Computed, not measured: a relaxed structure of AgMo7 at the PBE level of DFT.

Cell lengths 5.6603, 5.6603, 5.6603 Å; angles 60.00, 60.00, 60.00 degrees
Atoms (fractional coordinates):
1 Ag 0.0000 0.0000 0.0000
2 Mo 0.0000 0.0000 0.5000
3 Mo 0.0000 0.5000 0.0000
4 Mo 0.0000 0.5000 0.5000
5 Mo 0.5000 0.0000 0.0000
6 Mo 0.5000 0.0000 0.5000
7 Mo 0.5000 0.5000 0.0000
8 Mo 0.5000 0.5000 0.5000

Output
As for the space group: Fm-3m (225). The calculation puts the energy of formation from the pure elements at 0.40 eV per atom. The calculation puts the uncorrected energy at -75.45 eV/f.u.


Computed, not measured: a relaxed structure of AgMo at the PBE level of DFT.

Cell lengths 5.8805, 5.8805, 4.4489 Å; angles 90.00, 90.00, 154.19 degrees
Atoms (fractional coordinates):
1 Ag 0.0643 0.9357 0.7500
2 Ag 0.9357 0.0643 0.2500
3 Mo 0.3091 0.6909 0.7500
4 Mo 0.6909 0.3091 0.2500

Output
As for the space group: Cmcm (63). The energy above the most stable polymorph in this dataset comes out at 232 meV/atom. The calculation puts the energy of formation from the pure elements at 0.50 eV per atom. The calculation puts the uncorrected energy at -12.69 eV/f.u.


Computed, not measured: a relaxed structure of AgMo3 at the PBE level of DFT.

Cell lengths 2.6196, 4.3807, 5.6881 Å; angles 90.00, 90.00, 90.00 degrees
Atoms (fractional coordinates):
1 Ag 0.0000 0.0000 0.0000
2 Mo 0.0000 0.0000 0.5000
3 Mo 0.5000 0.5000 0.2573
4 Mo 0.5000 0.5000 0.7427

Output
As for the space group: Pmmm (47). The energy above the most stable polymorph in this dataset comes out at 198 meV/atom. The calculation puts the energy of formation from the pure elements at 0.44 eV per atom. The calculation puts the uncorrected energy at -33.59 eV/f.u.


Computed, not measured: a relaxed structure of AgMo3 at the PBE level of DFT.

Cell lengths 2.7752, 2.7752, 9.8598 Å; angles 90.00, 90.00, 120.00 degrees
Atoms (fractional coordinates):
1 Ag 0.0000 0.0000 0.0000
2 Mo 0.0000 0.0000 0.5000
3 Mo 0.3333 0.6667 0.2556
4 Mo 0.3333 0.6667 0.7444

Output
As for the space group: P-6m2 (187). The energy above the most stable polymorph in this dataset comes out at 206 meV/atom. The calculation puts the energy of formation from the pure elements at 0.45 eV per atom. The calculation puts the uncorrected energy at -33.56 eV/f.u.


Computed, not measured: a relaxed structure of AgMo at the PBE level of DFT.

Cell lengths 8.4964, 8.4964, 4.3231 Å; angles 90.00, 90.00, 90.00 degrees
Atoms (fractional coordinates):
1 Ag 0.1519 0.1786 0.0000
2 Ag 0.1786 0.8481 0.0000
3 Ag 0.3214 0.3481 0.5000
4 Ag 0.3481 0.6786 0.5000
5 Ag 0.6519 0.3214 0.5000
6 Ag 0.6786 0.6519 0.5000
7 Ag 0.8214 0.1519 0.0000
8 Ag 0.8481 0.8214 0.0000
9 Mo 0.0206 0.6390 0.5000
10 Mo 0.1390 0.5206 0.0000
11 Mo 0.3610 0.0206 0.5000
12 Mo 0.4794 0.1390 0.0000
13 Mo 0.5206 0.8610 0.0000
14 Mo 0.6390 0.9794 0.5000
15 Mo 0.8610 0.4794 0.0000
16 Mo 0.9794 0.3610 0.5000

Output
As for the space group: P4/mnc (128). The energy above the most stable polymorph in this dataset comes out at 344 meV/atom. The calculation puts the energy of formation from the pure elements at 0.61 eV per atom. The calculation puts the uncorrected energy at -12.47 eV/f.u.


Computed, not measured: a relaxed structure of Ag4Mo at the PBE level of DFT.

Cell lengths 5.0768, 5.0768, 5.0768 Å; angles 99.36, 99.36, 132.43 degrees
Atoms (fractional coordinates):
1 Ag 0.1017 0.2975 0.3992
2 Ag 0.2975 0.8983 0.1958
3 Ag 0.7025 0.1017 0.8042
4 Ag 0.8983 0.7025 0.6008
5 Mo 0.5000 0.5000 0.0000

Output
As for the space group: I4/m (87). The energy above the most stable polymorph in this dataset comes out at 0 meV/atom. The calculation puts the energy of formation from the pure elements at 0.51 eV per atom. The calculation puts the uncorrected energy at -19.70 eV/f.u.


Computed, not measured: a relaxed structure of Ag5Mo at the PBE level of DFT.

Cell lengths 5.4374, 5.4374, 5.4374 Å; angles 60.00, 60.00, 60.00 degrees
Atoms (fractional coordinates):
1 Ag 0.0000 0.0000 0.0000
2 Ag 0.3750 0.3750 0.3750
3 Ag 0.3750 0.3750 0.8749
4 Ag 0.3750 0.8749 0.3750
5 Ag 0.8749 0.3750 0.3750
6 Mo 0.7500 0.7500 0.7500

Output
As for the space group: F-43m (216). The energy above the most stable polymorph in this dataset comes out at 234 meV/atom. The calculation puts the energy of formation from the pure elements at 0.59 eV per atom. The calculation puts the uncorrected energy at -21.57 eV/f.u.


> Which of these has the lowest uncorrected energy?

AgMo7


Please write out number 2 again, unchanged.
Computed, not measured: a relaxed structure of AgMo7 at the PBE level of DFT.

Cell lengths 5.6603, 5.6603, 5.6603 Å; angles 60.00, 60.00, 60.00 degrees
Atoms (fractional coordinates):
1 Ag 0.0000 0.0000 0.0000
2 Mo 0.0000 0.0000 0.5000
3 Mo 0.0000 0.5000 0.0000
4 Mo 0.0000 0.5000 0.5000
5 Mo 0.5000 0.0000 0.0000
6 Mo 0.5000 0.0000 0.5000
7 Mo 0.5000 0.5000 0.0000
8 Mo 0.5000 0.5000 0.5000

Output
As for the space group: Fm-3m (225). The calculation puts the energy of formation from the pure elements at 0.40 eV per atom. The calculation puts the uncorrected energy at -75.45 eV/f.u.


> Look up the uncorrected energy of the seventh one.

-19.70 eV/f.u.


> Which formula does entry 8 have?

Ag5Mo